Compound: Dy3Tl4Cd2
Source: the Alexandria database
Functional: GGA-PBE
Structure: optimized geometry

Properties
* ΔH_f (0 K): -0.238 eV per atom
* density: 10709 kg/m3
* total energy: -3.03 eV/atom

Lattice parameters (Å, degrees): 11.484 4.938 9.391 90.00 117.01 90.00
Space group C2/m (No. 12)
Asymmetric unit:
1 Dy 0.000 0.000 0.000 [2 per cell]
2 Dy 0.155 0.500 0.677 [4 per cell]
3 Tl 0.037 0.000 0.362 [4 per cell]
4 Tl 0.186 0.500 0.035 [4 per cell]
5 Cd 0.160 0.500 0.333 [4 per cell]